*1*
Below is RbLi2TcIr after structural relaxation, with properties calculated at the PBE level.

Mass density: 6.5 g/cm³
Spin magnetization: 0.696 μB/atom
N(E_F): 3.98 states/eV/f.u.

Cell lengths 4.3470, 4.3470, 5.2771 Å; angles 90.00, 90.00, 90.00 degrees
Space group P4/mmm (No. 123)
Symmetry-distinct sites (fractional):
Rb  0.0000  0.0000  0.0000 [1 per cell]
Li  0.0000  0.5000  0.0000 [2 per cell]
Tc  0.5000  0.5000  0.5000 [1 per cell]
Ir  0.0000  0.0000  0.5000 [1 per cell]

***

*2*
Below is RbLi2TcIr after structural relaxation, with properties calculated at the PBE level.

Mass density: 7.2 g/cm³
Spin magnetization: 0.360 μB/atom
N(E_F): 4.79 states/eV/f.u.

Cell lengths 4.2358, 4.2358, 4.9879 Å; angles 90.00, 90.00, 90.00 degrees
Space group P4/mmm (No. 123)
Symmetry-distinct sites (fractional):
Rb  0.0000  0.0000  0.0000 [1 per cell]
Li  0.0000  0.5000  0.0000 [2 per cell]
Tc  0.0000  0.0000  0.5000 [1 per cell]
Ir  0.5000  0.5000  0.5000 [1 per cell]

***

Question: of the structures shown, which is the most stable? Reply: *1*.